1.
Y3Al3SiNi2: relaxed, PBE.

Output
As for the total DFT energy (no corrections): -52.124 eV per cell. The space-group type is P-62m (189).

Cell lengths 7.2353, 7.2353, 3.7624 Å; angles 90.00, 90.00, 120.00 degrees
Closest atoms and distances in Å follow each position.
Fractional positions:
Y1 0.0000 0.5956 0.0000  4 Ni 2.89, 1 Si 2.93, 6 Al 3.07-3.18
Y2 0.4044 0.4044 0.0000  4 Ni 2.89, 1 Si 2.93, 6 Al 3.07-3.18
Y3 0.5956 0.0000 0.0000  4 Ni 2.89, 1 Si 2.93, 6 Al 3.07-3.18
Al1 0.0000 0.2595 0.5000  2 Si 2.66, 2 Ni 2.72
Al2 0.2595 0.0000 0.5000  2 Si 2.66, 2 Ni 2.72
Al3 0.7405 0.7405 0.5000  2 Si 2.66, 2 Ni 2.72
Si1 0.0000 0.0000 0.0000  6 Al 2.66, 3 Y 2.93
Ni1 0.3333 0.6667 0.5000  3 Al 2.72, 6 Y 2.89
Ni2 0.6667 0.3333 0.5000  3 Al 2.72, 6 Y 2.89

2.
Y4CoNiC2: relaxed, PBE.

Output
As for the total DFT energy (no corrections): -57.455 eV per cell. The space-group type is P-6m2 (187).

Cell lengths 3.5799, 3.5799, 13.6340 Å; angles 90.00, 90.00, 120.00 degrees
Closest atoms and distances in Å follow each position.
Fractional positions:
Y1 0.0000 0.0000 0.1486  3 C 2.50
Y2 0.0000 0.0000 0.8514  3 C 2.50
Y3 0.3333 0.6667 0.3502  3 C 2.47
Y4 0.3333 0.6667 0.6498  3 C 2.47
Co1 0.3333 0.6667 0.0000  6 Y 2.89
Ni1 0.0000 0.0000 0.5000  6 Y 2.91
C1 0.6667 0.3333 0.2513  6 Y 2.47-2.50
C2 0.6667 0.3333 0.7487  6 Y 2.47-2.50

3.
BeNiHgBi: relaxed, PBE.

Output
As for the total DFT energy (no corrections): -46.299 eV per cell. The space-group type is F-43m (216).

Cell lengths 6.5979, 6.5979, 6.5979 Å; angles 90.00, 90.00, 90.00 degrees
Closest atoms and distances in Å follow each position.
Fractional positions:
Be1 0.0000 0.0000 0.0000  4 Hg 2.86, 4 Bi 2.86
Be2 0.0000 0.5000 0.5000  4 Hg 2.86, 4 Bi 2.86
Be3 0.5000 0.0000 0.5000  4 Hg 2.86, 4 Bi 2.86
Be4 0.5000 0.5000 0.0000  4 Hg 2.86, 4 Bi 2.86
Ni1 0.0000 0.0000 0.5000  4 Hg 2.86, 4 Bi 2.86
Ni2 0.0000 0.5000 0.0000  4 Hg 2.86, 4 Bi 2.86
Ni3 0.5000 0.0000 0.0000  4 Hg 2.86, 4 Bi 2.86
Ni4 0.5000 0.5000 0.5000  4 Hg 2.86, 4 Bi 2.86
Hg1 0.2500 0.2500 0.7500  4 Ni 2.86, 4 Be 2.86
Hg2 0.2500 0.7500 0.2500  4 Ni 2.86, 4 Be 2.86
Hg3 0.7500 0.2500 0.2500  4 Ni 2.86, 4 Be 2.86
Hg4 0.7500 0.7500 0.7500  4 Ni 2.86, 4 Be 2.86
Bi1 0.2500 0.2500 0.2500  4 Ni 2.86, 4 Be 2.86
Bi2 0.2500 0.7500 0.7500  4 Ni 2.86, 4 Be 2.86
Bi3 0.7500 0.2500 0.7500  4 Ni 2.86, 4 Be 2.86
Bi4 0.7500 0.7500 0.2500  4 Ni 2.86, 4 Be 2.86

4.
Dy3Tm3FeBi2: relaxed, PBE.

Output
As for the total DFT energy (no corrections): -47.676 eV per cell. The space-group type is P-62m (189).

Cell lengths 8.2674, 8.2674, 4.1235 Å; angles 90.00, 90.00, 120.00 degrees
Closest atoms and distances in Å follow each position.
Fractional positions:
Dy1 0.0000 0.6069 0.0000  1 Fe 3.25, 4 Bi 3.28, 4 Tm 3.50
Dy2 0.3931 0.3931 0.0000  1 Fe 3.25, 4 Bi 3.28, 4 Tm 3.50
Dy3 0.6069 0.0000 0.0000  1 Fe 3.25, 4 Bi 3.28, 4 Tm 3.50
Tm1 0.0000 0.2284 0.5000  2 Fe 2.80
Tm2 0.2284 0.0000 0.5000  2 Fe 2.80
Tm3 0.7716 0.7716 0.5000  2 Fe 2.80
Fe1 0.0000 0.0000 0.0000  6 Tm 2.80
Bi1 0.3333 0.6667 0.5000  6 Dy 3.28, 3 Tm 3.28
Bi2 0.6667 0.3333 0.5000  6 Dy 3.28, 3 Tm 3.28

5.
ScNbN2O: relaxed, PBE.

Output
As for the total DFT energy (no corrections): -92.663 eV per cell. The space-group type is Pmc2_1 (26).

Cell lengths 3.4833, 6.1948, 5.6450 Å; angles 90.00, 90.00, 90.00 degrees
Closest atoms and distances in Å follow each position.
Fractional positions:
Sc1 0.0000 0.1674 0.0000  2 O 2.18, 4 N 2.19-2.36
Sc2 0.0000 0.8326 0.5000  2 O 2.18, 4 N 2.19-2.36
Nb1 0.5000 0.3125 0.5362  4 N 1.93-2.09, 1 O 2.03
Nb2 0.5000 0.6875 0.0362  4 N 1.93-2.09, 1 O 2.03
N1 0.0000 0.1720 0.6113  2 Nb 1.99, 2 Sc 2.19
N2 0.0000 0.8280 0.1113  2 Nb 1.99, 2 Sc 2.19
N3 0.5000 0.4051 0.8921  2 Nb 1.93-2.09
N4 0.5000 0.5949 0.3921  2 Nb 1.93-2.09
O1 0.5000 0.1375 0.2314  1 Nb 2.03, 2 Sc 2.18
O2 0.5000 0.8625 0.7314  1 Nb 2.03, 2 Sc 2.18

6.
CsAgIrO3: relaxed, PBE.

Output
As for the total DFT energy (no corrections): -126.205 eV per cell. The space-group type is Pnma (62).

Cell lengths 12.4914, 3.2691, 10.6590 Å; angles 90.00, 90.00, 90.00 degrees
Closest atoms and distances in Å follow each position.
Fractional positions:
Cs1 0.2391 0.2500 0.1427  5 O 2.87-3.06
Cs2 0.2609 0.7500 0.6427  5 O 2.87-3.06
Cs3 0.7391 0.2500 0.3573  5 O 2.87-3.06
Cs4 0.7609 0.7500 0.8573  5 O 2.87-3.06
Ag1 0.0284 0.2500 0.9085  2 O 2.18
Ag2 0.4716 0.7500 0.4085  2 O 2.18
Ag3 0.5284 0.2500 0.5915  2 O 2.18
Ag4 0.9716 0.7500 0.0915  2 O 2.18
Ir1 0.0211 0.2500 0.3742  6 O 1.95-2.10
Ir2 0.4789 0.7500 0.8742  6 O 1.95-2.10
Ir3 0.5211 0.2500 0.1258  6 O 1.95-2.10
Ir4 0.9789 0.7500 0.6258  6 O 1.95-2.10
O1 0.0633 0.7500 0.7795  1 Ir 1.95, 2 Ag 2.18
O2 0.0670 0.2500 0.5585  3 Ir 2.05-2.10
O3 0.1073 0.7500 0.3255  2 Ir 2.02
O4 0.3927 0.2500 0.8255  2 Ir 2.02
O5 0.4330 0.7500 0.0585  3 Ir 2.05-2.10
O6 0.4367 0.2500 0.2795  1 Ir 1.95, 2 Ag 2.18
O7 0.5633 0.7500 0.7205  1 Ir 1.95, 2 Ag 2.18
O8 0.5670 0.2500 0.9415  3 Ir 2.05-2.10
O9 0.6073 0.7500 0.1745  2 Ir 2.02
O10 0.8927 0.2500 0.6745  2 Ir 2.02
O11 0.9330 0.7500 0.4415  3 Ir 2.05-2.10
O12 0.9367 0.2500 0.2205  1 Ir 1.95, 2 Ag 2.18